Below is Ti7InC2 after structural relaxation, with properties calculated at the PBE level.

The structure in extended XYZ format:
```
10
Lattice="4.1838 0.0000 0.0000 0.0000 6.5287 0.0204 0.0000 -2.9272 5.8358" Properties=species:S:1:pos:R:3 pbc="T T T"
Ti 0.0000 3.8758 1.6519
Ti 0.0000 -0.2743 4.2043
Ti 2.0919 -0.5701 1.9706
Ti 2.0919 4.1717 3.8857
Ti 2.0919 2.0158 0.3802
Ti 2.0919 1.5857 5.4760
Ti 2.0919 1.8008 2.9281
In 0.0000 0.0000 0.0000
C 2.0919 3.7244 1.7451
C 2.0919 -0.1229 4.1111
```

Values from the calculation:
- Total energy: -7.82 eV/atom
- Magnetic moment: 0.0 μB/cell